Run A
TbPmYTm, relaxed, DFT PBE-GGA; SG = F-43m; calculated density = 7.155 Mg/m³
1.0
0.000 4.025 4.025
4.025 0.000 4.025
4.025 4.025 0.000
Tb Pm Y Tm
1 1 1 1
Cartesian
0.000 0.000 0.000
6.037 6.037 6.037
2.012 2.012 2.012
4.025 4.025 4.025

---

Run B
TbPmYTm, relaxed, DFT PBE-GGA; SG = I-4m2; calculated density = 7.263 Mg/m³
1.0
-2.527 2.527 5.029
2.527 -2.527 5.029
2.527 2.527 -5.029
Tb Pm Y Tm
1 1 1 1
Cartesian
0.000 0.000 0.000
2.527 0.000 2.515
0.000 0.000 5.029
0.000 2.527 2.515

---

If you had to bet on the most stable structure above, which would it be? Bet on run B.